KNiF2 | PBE with a Hubbard U | optimized geometry

Unit cell a=6.996 b=6.996 c=6.996 alpha=31.48 beta=31.48 gamma=31.48
Sites, in units of the cell vectors:
K: 0.000 0.000 0.000
Ni: 0.500 0.500 0.500
F: 0.406 0.406 0.406
F: 0.594 0.594 0.594

Calculated volume ... 20.73 A^3/atom
E above lowest polymorph ... 0.000 eV/atom
E_tot ... -3.63 eV per atom
Magnetization ... 1.00 μB/cell